1.
PBE Li4Cd3Hg, optimized geometry; crystal system = orthorhombic; symmetry = No. 25; energy above the lowest structure with this stoichiometry = 50.6 meV per atom
1.0
3.0459 0.0000 0.0000
0.0000 4.6818 0.0000
0.0000 0.0000 11.1788
Cd Li Hg
3 4 1
direct
0.0000 0.0000 0.4203 Cd
0.0000 0.5000 0.5797 Cd
0.5000 0.0000 0.9192 Cd
0.5000 0.0000 0.6659 Li
0.5000 0.5000 0.3314 Li
0.0000 0.5000 0.8342 Li
0.0000 0.0000 0.1652 Li
0.5000 0.5000 0.0839 Hg

=====

2.
PBE MgCd2Ge2Pd5, optimized geometry; crystal system = tetragonal; electronic total energy = -4.24 eV/atom; symmetry = No. 127
1.0
-1.3431 1.3742 -2.7226
-6.5308 -7.7740 -0.7022
-6.6411 5.0527 5.8264
Pd Cd Ge Mg
10 4 4 2
direct
0.5000 0.2891 0.5277 Pd
0.5000 0.7109 0.4723 Pd
0.5000 0.4723 0.2891 Pd
0.5000 0.2109 0.0277 Pd
0.5000 0.0277 0.7891 Pd
0.5000 0.9723 0.2109 Pd
0.5000 0.7891 0.9723 Pd
0.5000 0.5277 0.7109 Pd
0.5000 0.5000 0.0000 Pd
0.5000 0.0000 0.5000 Pd
0.0000 0.8244 0.6756 Cd
0.0000 0.1756 0.3244 Cd
0.0000 0.3244 0.8244 Cd
0.0000 0.6756 0.1756 Cd
0.0000 0.6362 0.8638 Ge
0.0000 0.1362 0.6362 Ge
0.0000 0.8638 0.3638 Ge
0.0000 0.3638 0.1362 Ge
0.0000 0.5000 0.5000 Mg
0.0000 0.0000 0.0000 Mg

=====

3.
PBE Sc2GaCo3, optimized geometry; crystal system = trigonal; symmetry = No. 166; energy above the lowest structure with this stoichiometry = 25.6 meV per atom
1.0
-2.6050 -4.1802 1.0318
4.9781 -0.2481 -0.6940
0.6393 3.4617 3.3596
Sc Co Ga
2 3 1
direct
0.7517 0.3758 0.1275 Sc
0.2483 0.6242 0.8725 Sc
0.5000 0.0000 0.5000 Co
0.5000 0.5000 0.5000 Co
0.0000 0.0000 0.5000 Co
0.0000 0.0000 0.0000 Ga

=====

4.
PBE K2CdRe, optimized geometry; crystal system = tetragonal; electronic total energy = -2.53 eV/atom; symmetry = No. 122
1.0
-10.7996 0.2101 5.7846
-2.7243 -10.9885 -4.6871
-5.6447 -6.5743 2.6777
Cd K Re
2 4 2
direct
0.5000 0.5000 0.0000 Cd
0.2500 0.7500 0.5000 Cd
0.3750 0.2198 0.7500 K
0.9698 0.6250 0.2500 K
0.7802 0.1250 0.2500 K
0.8750 0.0302 0.7500 K
0.7500 0.2500 0.5000 Re
0.0000 0.0000 0.0000 Re

=====

5.
PBE NiMo2Ru, optimized geometry; crystal system = cubic; electronic total energy = -9.01 eV/atom; symmetry = No. 216
1.0
-3.3026 -2.7893 0.1578
-0.0337 -3.1464 2.9684
-2.8085 0.1569 3.2863
Ru Ni Mo
1 1 2
direct
0.2500 0.2500 0.2500 Ru
0.5000 0.5000 0.5000 Ni
0.0000 0.0000 0.0000 Mo
0.7500 0.7500 0.7500 Mo

=====

6.
PBE Y2Zr2Hg, optimized geometry; crystal system = tetragonal; electronic total energy = -5.99 eV/atom; symmetry = No. 127
1.0
-5.5903 4.4000 2.6153
-4.2736 -1.8809 -5.9707
-1.7489 -3.6494 2.4015
Zr Hg Y
4 2 4
direct
0.8611 0.6389 0.0000 Zr
0.3611 0.8611 0.0000 Zr
0.6389 0.1389 0.0000 Zr
0.1389 0.3611 0.0000 Zr
0.0000 0.0000 0.0000 Hg
0.5000 0.5000 0.0000 Hg
0.3408 0.1592 0.5000 Y
0.1592 0.6592 0.5000 Y
0.6592 0.8408 0.5000 Y
0.8408 0.3408 0.5000 Y

=====

7.
PBE K3Ca2Br7, optimized geometry; crystal system = orthorhombic; symmetry = No. 65; formation energy from raw total energies = -1.821 eV per atom
1.0
5.6678 0.0000 -0.8837
0.0000 5.6146 0.0000
-0.6522 0.0000 14.4354
Br K Ca
7 3 2
direct
0.5975 0.0000 0.1950 Br
0.9012 0.5000 0.8024 Br
0.2019 0.0000 0.4038 Br
0.0988 0.5000 0.1976 Br
0.7981 0.0000 0.5962 Br
0.0000 0.0000 0.0000 Br
0.4025 0.0000 0.8050 Br
0.3222 0.5000 0.6444 K
0.5000 0.5000 0.0000 K
0.6778 0.5000 0.3556 K
0.1030 0.0000 0.2059 Ca
0.8970 0.0000 0.7941 Ca

=====

8.
PBE BaSiOsS2, optimized geometry; crystal system = tetragonal; symmetry = No. 123; formation energy from raw total energies = -0.273 eV per atom; energy above the lowest structure with this stoichiometry = 0.0 meV per atom
1.0
-3.9836 1.3978 -2.7402
0.5219 -3.6584 -2.6250
-3.0210 -2.6224 3.0542
S Ba Si Os
2 1 1 1
direct
0.0000 0.0000 0.5000 S
0.5000 0.0000 0.0000 S
0.5000 0.5000 0.5000 Ba
0.0000 0.5000 0.0000 Si
0.0000 0.0000 0.0000 Os

=====

9.
PBE LaCoIr, optimized geometry; crystal system = orthorhombic; electronic total energy = -7.14 eV/atom; symmetry = No. 74
1.0
6.0232 -0.5589 -1.2346
-3.1178 5.1836 1.2346
-3.7617 -0.8618 4.8148
La Co Ir
2 2 2
direct
0.7498 0.3756 0.1254 La
0.2502 0.6244 0.8746 La
0.2494 0.0472 0.2966 Co
0.7506 0.9528 0.7034 Co
0.5000 0.5000 0.5000 Ir
0.0000 0.0000 0.5000 Ir

=====

10.
PBE Be2Hg, optimized geometry; crystal system = hexagonal; symmetry = No. 191; energy above the lowest structure with this stoichiometry = 376.3 meV per atom
1.0
-2.5499 -2.2926 1.8971
3.2126 -1.5594 -1.6138
1.5554 0.4624 2.6494
Be Hg
2 1
direct
0.3333 0.6667 0.5000 Be
0.6667 0.3333 0.5000 Be
0.0000 0.0000 0.0000 Hg

=====

11.
PBE SnBi2Pb, optimized geometry; crystal system = tetragonal; symmetry = No. 123; energy above the lowest structure with this stoichiometry = 0.0 meV per atom
1.0
4.9106 0.0000 0.0000
0.0000 5.0201 0.0000
0.0000 0.0000 5.0201
Bi Pb Sn
2 1 1
direct
0.0000 0.0000 0.5000 Bi
0.0000 0.5000 0.0000 Bi
0.5000 0.5000 0.5000 Pb
0.5000 0.0000 0.0000 Sn

=====

12.
PBE Sm4BeCl5, optimized geometry; crystal system = monoclinic; symmetry = No. 12; formation energy from raw total energies = -1.525 eV per atom
1.0
-2.5230 0.7412 -2.8527
-5.1784 -5.8365 3.0633
-3.8910 4.1955 7.1697
Cl Sm Be
5 4 1
direct
0.1722 0.1514 0.3444 Cl
0.1643 0.6675 0.3286 Cl
0.8357 0.3325 0.6714 Cl
0.5000 0.5000 0.0000 Cl
0.8278 0.8486 0.6556 Cl
0.3471 0.0878 0.6942 Sm
0.6529 0.9122 0.3058 Sm
0.0012 0.2330 0.0024 Sm
0.9988 0.7670 0.9976 Sm
0.5000 0.0000 0.0000 Be

=====

Number 11 is which compound? SnBi2Pb

=====

What did the eighth record say?
PBE BaSiOsS2, optimized geometry; crystal system = tetragonal; symmetry = No. 123; formation energy from raw total energies = -0.273 eV per atom; energy above the lowest structure with this stoichiometry = 0.0 meV per atom
1.0
-3.9836 1.3978 -2.7402
0.5219 -3.6584 -2.6250
-3.0210 -2.6224 3.0542
S Ba Si Os
2 1 1 1
direct
0.0000 0.0000 0.5000 S
0.5000 0.0000 0.0000 S
0.5000 0.5000 0.5000 Ba
0.0000 0.5000 0.0000 Si
0.0000 0.0000 0.0000 Os